Density functional theory data (PBE) for BaZnSb after structural relaxation.

distance to the lowest polymorph of the same formula = 0.376 eV/f.u.
total DFT energy (no corrections) = -8.86 eV/f.u.

Cell: 4.972 4.910 8.112 Å, 90.00 90.00 90.00°
Space group Pmma (No. 51)
Symmetry-distinct sites (fractional):
1 Ba 0.250 0.000 0.235 (multiplicity 2)
2 Zn 0.250 0.500 0.551 (multiplicity 2)
3 Sb 0.250 0.500 0.896 (multiplicity 2)



Density functional theory data (PBE) for NaAc2Te3 after structural relaxation.

distance to the lowest polymorph of the same formula = 0.570 eV/f.u.
total DFT energy (no corrections) = -26.83 eV/f.u.

Cell: 4.276 5.504 18.292 Å, 90.00 90.00 90.00°
Space group Immm (No. 71)
Symmetry-distinct sites (fractional):
1 Na 0.000 0.000 0.000 (multiplicity 2)
2 Ac 0.000 0.000 0.355 (multiplicity 4)
3 Te 0.000 0.000 0.173 (multiplicity 4)
4 Te 0.000 0.500 0.000 (multiplicity 2)



Density functional theory data (PBE) for TbPm6Sm6 after structural relaxation.

formation energy = 0.278 eV/atom
total DFT energy (no corrections) = -57.84 eV/f.u.

Cell: 6.7511 6.7511 11.5299 Å, 90.00 90.00 120.00°
Space group P6/mmm (No. 191)
Symmetry-distinct sites (fractional):
1 Tb 0.0000 0.0000 0.0000 (multiplicity 1)
2 Pm 0.0000 0.0000 0.3495 (multiplicity 2)
3 Pm 0.3333 0.6667 0.0000 (multiplicity 2)
4 Pm 0.3333 0.6667 0.5000 (multiplicity 2)
5 Sm 0.0000 0.5000 0.2484 (multiplicity 6)



Density functional theory data (PBE) for Si2TcSe after structural relaxation.

total DFT energy (no corrections) = -24.48 eV/f.u.

Cell: 8.930 2.994 5.503 Å, 90.00 107.70 90.00°
Space group Cm (No. 8)
Symmetry-distinct sites (fractional):
1 Si 0.000 0.000 0.000 (multiplicity 2)
2 Si 0.175 0.000 0.618 (multiplicity 2)
3 Tc 0.456 0.000 0.624 (multiplicity 2)
4 Se 0.319 0.500 0.255 (multiplicity 2)



Density functional theory data (PBE) for PPbSe2 after structural relaxation.

distance to the lowest polymorph of the same formula = 0.828 eV/f.u.
total DFT energy (no corrections) = -15.78 eV/f.u.

Cell: 5.892 5.892 14.378 Å, 90.00 90.00 90.00°
Space group I-42d (No. 122)
Symmetry-distinct sites (fractional):
1 P 0.000 0.000 0.000 (multiplicity 4)
2 Pb 0.000 0.000 0.500 (multiplicity 4)
3 Se 0.174 0.250 0.125 (multiplicity 8)



Density functional theory data (PBE) for LaCuNi2 after structural relaxation.

formation energy = -0.071 eV/atom
total DFT energy (no corrections) = -20.87 eV/f.u.

Cell: 3.664 3.802 5.270 Å, 90.00 110.25 90.00°
Space group Pm (No. 6)
Symmetry-distinct sites (fractional):
1 La 0.000 0.000 0.000 (multiplicity 1)
2 Cu 0.284 0.500 0.571 (multiplicity 1)
3 Ni 0.600 0.500 0.202 (multiplicity 1)
4 Ni 0.739 0.000 0.484 (multiplicity 1)



Density functional theory data (PBE) for SmErMn after structural relaxation.

formation energy = 0.170 eV/atom
total DFT energy (no corrections) = -17.94 eV/f.u.

Cell: 3.504 3.504 12.747 Å, 90.00 90.00 90.00°
Space group I4mm (No. 107)
Symmetry-distinct sites (fractional):
1 Sm 0.000 0.000 0.000 (multiplicity 2)
2 Er 0.000 0.000 0.274 (multiplicity 2)
3 Mn 0.000 0.000 0.642 (multiplicity 2)



Density functional theory data (PBE) for PmTe2Pb after structural relaxation.

total DFT energy (no corrections) = -17.97 eV/f.u.

Cell: 3.955 3.955 7.773 Å, 90.00 90.00 90.00°
Space group P4/mmm (No. 123)
Symmetry-distinct sites (fractional):
1 Pm 0.000 0.000 0.000 (multiplicity 1)
2 Te 0.500 0.500 0.230 (multiplicity 2)
3 Pb 0.000 0.000 0.500 (multiplicity 1)



Density functional theory data (PBE) for TbEr2ThSe4 after structural relaxation.

total DFT energy (no corrections) = -48.41 eV/f.u.

Cell: 7.075 4.040 7.186 Å, 90.00 108.84 90.00°
Space group P2/m (No. 10)
Symmetry-distinct sites (fractional):
1 Tb 0.000 0.000 0.000 (multiplicity 1)
2 Er 0.000 0.500 0.500 (multiplicity 1)
3 Er 0.500 0.000 0.500 (multiplicity 1)
4 Th 0.500 0.500 0.000 (multiplicity 1)
5 Se 0.240 0.000 0.736 (multiplicity 2)
6 Se 0.248 0.500 0.260 (multiplicity 2)



Density functional theory data (PBE) for CoBSCl2 after structural relaxation.

distance to the lowest polymorph of the same formula = 0.190 eV/f.u.
total DFT energy (no corrections) = -17.44 eV/f.u.

Cell: 4.760 4.760 4.255 Å, 90.00 90.00 90.00°
Space group P4/mmm (No. 123)
Symmetry-distinct sites (fractional):
1 Co 0.000 0.000 0.000 (multiplicity 1)
2 B 0.500 0.500 0.500 (multiplicity 1)
3 S 0.000 0.000 0.500 (multiplicity 1)
4 Cl 0.000 0.500 0.000 (multiplicity 2)



Density functional theory data (PBE) for NaCa5ScZn5Si12O36 after structural relaxation.

total DFT energy (no corrections) = -427.05 eV/f.u.

Cell: 9.968 9.091 16.025 Å, 90.00 106.42 90.00°
Space group C2 (No. 5)
Symmetry-distinct sites (fractional):
1 Na 0.000 0.000 0.000 (multiplicity 2)
2 Ca 0.000 0.591 0.500 (multiplicity 2)
3 Ca 0.000 0.997 0.335 (multiplicity 4)
4 Ca 0.006 0.596 0.829 (multiplicity 4)
5 Sc 0.000 0.388 0.000 (multiplicity 2)
6 Zn 0.000 0.189 0.167 (multiplicity 4)
7 Zn 0.000 0.200 0.500 (multiplicity 2)
8 Zn 0.001 0.389 0.667 (multiplicity 4)
9 Si 0.211 0.706 0.006 (multiplicity 4)
10 Si 0.212 0.886 0.838 (multiplicity 4)
11 Si 0.213 0.888 0.172 (multiplicity 4)
12 Si 0.214 0.702 0.672 (multiplicity 4)
13 Si 0.214 0.704 0.339 (multiplicity 4)
14 Si 0.214 0.887 0.506 (multiplicity 4)
15 O 0.116 0.205 0.298 (multiplicity 4)
16 O 0.116 0.381 0.799 (multiplicity 4)
17 O 0.116 0.384 0.465 (multiplicity 4)
18 O 0.117 0.205 0.632 (multiplicity 4)
19 O 0.118 0.389 0.131 (multiplicity 4)
20 O 0.119 0.214 0.965 (multiplicity 4)
21 O 0.135 0.549 0.978 (multiplicity 4)
22 O 0.137 0.040 0.808 (multiplicity 4)
23 O 0.138 0.548 0.309 (multiplicity 4)
24 O 0.139 0.042 0.476 (multiplicity 4)
25 O 0.139 0.547 0.642 (multiplicity 4)
26 O 0.145 0.047 0.145 (multiplicity 4)
27 O 0.150 0.777 0.084 (multiplicity 4)
28 O 0.150 0.812 0.250 (multiplicity 4)
29 O 0.151 0.779 0.416 (multiplicity 4)
30 O 0.151 0.779 0.749 (multiplicity 4)
31 O 0.151 0.805 0.914 (multiplicity 4)
32 O 0.151 0.810 0.583 (multiplicity 4)



Density functional theory data (PBE) for Pu2AgGe3Au4 after structural relaxation.

formation energy = -0.251 eV/atom
total DFT energy (no corrections) = -60.99 eV/f.u.

Cell: 4.376 4.376 11.070 Å, 90.00 90.00 90.00°
Space group P-4m2 (No. 115)
Symmetry-distinct sites (fractional):
1 Pu 0.000 0.500 0.242 (multiplicity 2)
2 Ag 0.000 0.000 0.500 (multiplicity 1)
3 Ge 0.000 0.500 0.867 (multiplicity 2)
4 Ge 0.500 0.500 0.500 (multiplicity 1)
5 Au 0.000 0.000 0.000 (multiplicity 1)
6 Au 0.000 0.500 0.643 (multiplicity 2)
7 Au 0.500 0.500 0.000 (multiplicity 1)



Among the records above, which one has the highest total DFT energy (no corrections)? BaZnSb